First-principles (PBE) data for a geometry-optimized TlTc structure, as listed in the Alexandria database.

CIF file:
```
data_TlTc
_chemical_formula_sum 'Tl4 Tc4'
_cell_length_a 4.278
_cell_length_b 5.791
_cell_length_c 6.661
_cell_angle_alpha 90.00
_cell_angle_beta 90.00
_cell_angle_gamma 90.00
_space_group_name_H-M_alt 'P 1'
_space_group_IT_number 1
_space_group_name_Hall 'P 1'
loop_
_atom_site_label
_atom_site_type_symbol
_atom_site_fract_x
_atom_site_fract_y
_atom_site_fract_z
Tc1 Tc 0.250 0.399 0.475
Tc2 Tc 0.750 0.601 0.525
Tl1 Tl 0.250 0.886 0.350
Tl2 Tl 0.250 0.614 0.850
Tc3 Tc 0.250 0.101 0.975
Tc4 Tc 0.750 0.899 0.025
Tl3 Tl 0.750 0.114 0.650
Tl4 Tl 0.750 0.386 0.150
```

Spin magnetization ... 0.00 μB per formula unit
Energy of formation from the pure elements ... 670 meV per atom
Relative energy among the computed polymorphs ... 0.361 eV/atom
Total DFT energy (no corrections) ... -5.696 eV/atom
Crystal system ... orthorhombic